This record from OQMD via LeMat-Bulk describes crystalline Li4Zn2CuAg at its relaxed geometry. The functional is PBE.

The space group is P-4m2 (No. 115) and the conventional cell measures 4.279, 4.279 and 6.069 Å, with angles of 90.00, 90.00 and 90.00 degrees. The inequivalent atoms are Li at (0.000, 0.000, 0.000), Li at (0.000, 0.500, 0.241), Li at (0.500, 0.500, 0.500), Zn at (0.000, 0.500, 0.769), Cu at (0.500, 0.500, 0.000) and Ag at (0.000, 0.000, 0.500).


This record from OQMD via LeMat-Bulk describes crystalline LuCuAg at its relaxed geometry. The functional is PBE.

For the total magnetic moment, the calculation gives 0.01 μB/f.u. The calculation puts the formation energy at 23 kJ/mol of atoms. The calculation puts the offset from the most stable computed form at 98 kJ/mol of formula units.

The space group is F-43m (No. 216) and the conventional cell measures 6.521, 6.521 and 6.521 Å, with angles of 90.00, 90.00 and 90.00 degrees. The inequivalent atoms are Lu at (0.000, 0.000, 0.000), Cu at (0.250, 0.250, 0.750) and Ag at (0.250, 0.250, 0.250).


This record from OQMD via LeMat-Bulk describes crystalline LuCuAg at its relaxed geometry. The functional is PBE.

For the total magnetic moment, the calculation gives 0.00 μB/f.u. The calculation puts the formation energy at -10 kJ/mol of atoms. The calculation puts the offset from the most stable computed form at 0 kJ/mol of formula units.

The space group is F-43m (No. 216) and the conventional cell measures 6.322, 6.322 and 6.322 Å, with angles of 90.00, 90.00 and 90.00 degrees. The inequivalent atoms are Lu at (0.000, 0.000, 0.000), Cu at (0.250, 0.250, 0.750) and Ag at (0.000, 0.000, 0.500).


This record from OQMD via LeMat-Bulk describes crystalline LuCuAg2 at its relaxed geometry. The functional is PBE.

For the total magnetic moment, the calculation gives 0.00 μB/f.u. The calculation puts the formation energy at -16 kJ/mol of atoms.

The space group is F-43m (No. 216) and the conventional cell measures 6.657, 6.657 and 6.657 Å, with angles of 90.00, 90.00 and 90.00 degrees. The inequivalent atoms are Lu at (0.000, 0.000, 0.000), Cu at (0.250, 0.250, 0.250), Ag at (0.000, 0.000, 0.500) and Ag at (0.250, 0.250, 0.750).


This record from OQMD via LeMat-Bulk describes crystalline LuCuAgPb at its relaxed geometry. The functional is PBE.

For the total magnetic moment, the calculation gives 0.00 μB/f.u. The calculation puts the offset from the most stable computed form at 0 kJ/mol of formula units.

The space group is F-43m (No. 216) and the conventional cell measures 6.908, 6.908 and 6.908 Å, with angles of 90.00, 90.00 and 90.00 degrees. The inequivalent atoms are Lu at (0.000, 0.000, 0.000), Cu at (0.250, 0.250, 0.750), Ag at (0.250, 0.250, 0.250) and Pb at (0.000, 0.000, 0.500).


This record from OQMD via LeMat-Bulk describes crystalline LuCuAgPb at its relaxed geometry. The functional is PBE.

For the total magnetic moment, the calculation gives 0.00 μB/f.u. The calculation puts the offset from the most stable computed form at 29 kJ/mol of formula units.

The space group is F-43m (No. 216) and the conventional cell measures 6.919, 6.919 and 6.919 Å, with angles of 90.00, 90.00 and 90.00 degrees. The inequivalent atoms are Lu at (0.000, 0.000, 0.000), Cu at (0.000, 0.000, 0.500), Ag at (0.250, 0.250, 0.750) and Pb at (0.250, 0.250, 0.250).


no.,DFT total energy (eV per atom)
1,-2.26
2,-3.45
3,-3.79
4,-3.64
5,-3.84
6,-3.76